(1)
Density functional theory data (PBEsol) for a relaxed structure of Y2Si3Rh.

a b c (Å): 8.1074 8.1074 7.7728
angles (deg): 90.00 90.00 120.00
Last column: nearest neighbours and their distance in Å.
Space group P6_3/mmc (No. 194)
Unique sites:
Y (0.0000, 0.0000, 0.2500)  12 Si 3.04-3.06
Y (0.0188, 0.5094, 0.2500)  4 Rh 2.98-3.13, 8 Si 3.00-3.08
Si (0.1674, 0.3348, 0.5018)  1 Rh 2.35, 2 Si 2.35
Rh (0.3333, 0.6667, 0.5357)  3 Si 2.35

## Properties
E_form (uncorrected) ... -1.00 eV/atom
Total DFT energy (no corrections) ... -180.04 eV per cell

(2)
Density functional theory data (PBEsol) for a relaxed structure of Li2AgAu.

a b c (Å): 3.8588 3.8588 8.1630
angles (deg): 90.00 90.00 90.00
Last column: nearest neighbours and their distance in Å.
Space group I-4m2 (No. 119)
Unique sites:
Li (0.0000, 0.0000, 0.0000)  4 Au 2.73, 4 Li 2.81, 4 Ag 2.81
Li (0.0000, 0.5000, 0.2500)  4 Ag 2.73, 4 Li 2.81, 4 Au 2.81
Ag (0.0000, 0.5000, 0.7500)  8 Li 2.73-2.81, 4 Au 2.81
Au (0.0000, 0.0000, 0.5000)  8 Li 2.73-2.81, 4 Ag 2.81

## Properties
Energy relative to the elements ... -0.3630 eV per atom
Total DFT energy (no corrections) ... -25.24 eV per cell

(3)
Density functional theory data (PBEsol) for a relaxed structure of CaIn2Ni.

a b c (Å): 3.4139 3.4139 7.3263
angles (deg): 90.00 90.00 90.00
Last column: nearest neighbours and their distance in Å.
Space group P4mm (No. 99)
Unique sites:
Ca (0.0000, 0.0000, 0.0000)  5 In 3.04-3.33, 4 Ni 3.16
In (0.0000, 0.0000, 0.5851)  4 Ni 2.61
In (0.5000, 0.5000, 0.3122)  1 Ni 3.00, 4 In 3.13, 4 Ca 3.33
Ni (0.5000, 0.5000, 0.7216)  4 In 2.61

## Properties
Energy relative to the elements ... -0.1417 eV per atom
Total DFT energy (no corrections) ... -14.82 eV per cell

(4)
Density functional theory data (PBEsol) for a relaxed structure of Hf2AlFe2.

a b c (Å): 6.2473 6.2473 3.9263
angles (deg): 90.00 90.00 90.00
Last column: nearest neighbours and their distance in Å.
Space group P4/mbm (No. 127)
Unique sites:
Hf (0.1858, 0.3142, 0.0000)  6 Fe 2.62-2.76
Al (0.0000, 0.0000, 0.5000)  4 Fe 2.50
Fe (0.1181, 0.6181, 0.5000)  1 Fe 2.09

## Properties
Energy relative to the elements ... -0.3016 eV per atom
Total DFT energy (no corrections) ... -89.07 eV per cell

(5)
Density functional theory data (PBEsol) for a relaxed structure of Tl2SbBr.

a b c (Å): 3.6932 3.6932 29.7114
angles (deg): 90.00 90.00 120.00
Last column: nearest neighbours and their distance in Å.
Space group R-3m (No. 166, hexagonal axes)
Unique sites:
Tl (0.0000, 0.0000, 0.2452)  3 Br 3.16, 3 Sb 3.38
Sb (0.0000, 0.0000, 0.0000)  6 Tl 3.38, 6 Sb 3.69
Br (0.0000, 0.0000, 0.5000)  6 Tl 3.16

## Properties
E_form (uncorrected) ... -0.14 eV/atom
Total DFT energy (no corrections) ... -36.78 eV per cell

(6)
Density functional theory data (PBEsol) for a relaxed structure of CsZnCo3.

a b c (Å): 4.5427 4.5427 4.5427
angles (deg): 90.00 90.00 90.00
Last column: nearest neighbours and their distance in Å.
Space group Pm-3m (No. 221)
Unique sites:
Cs (0.0000, 0.0000, 0.0000)  12 Co 3.21
Zn (0.5000, 0.5000, 0.5000)  6 Co 2.27
Co (0.0000, 0.5000, 0.5000)  2 Zn 2.27

## Properties
Energy relative to the elements ... 1.4613 eV per atom
Total DFT energy (no corrections) ... -18.43 eV per cell

(7)
Density functional theory data (PBEsol) for a relaxed structure of Be2AlRe.

a b c (Å): 3.3533 3.3533 7.9161
angles (deg): 90.00 90.00 90.00
Last column: nearest neighbours and their distance in Å.
Space group I-4m2 (No. 119)
Unique sites:
Be (0.0000, 0.0000, 0.0000)  4 Al 2.37, 4 Re 2.59, 4 Be 2.59
Be (0.0000, 0.5000, 0.2500)  4 Re 2.37, 4 Be 2.59, 4 Al 2.59
Al (0.0000, 0.0000, 0.5000)  8 Be 2.37-2.59, 4 Re 2.59
Re (0.0000, 0.5000, 0.7500)  8 Be 2.37-2.59, 4 Al 2.59

## Properties
Energy relative to the elements ... -0.2554 eV per atom
Total DFT energy (no corrections) ... -52.89 eV per cell

(8)
Density functional theory data (PBEsol) for a relaxed structure of ScMoPb.

a b c (Å): 4.8508 4.8508 2.9495
angles (deg): 90.00 90.00 120.00
Last column: nearest neighbours and their distance in Å.
Space group P3m1 (No. 156)
Unique sites:
Sc (0.0000, 0.0000, 0.0000)  2 Sc 2.95, 6 Pb 3.16-3.17, 6 Mo 3.16-3.17
Mo (0.3333, 0.6667, 0.5051)  3 Pb 2.80, 2 Mo 2.95
Pb (0.6667, 0.3333, 0.4947)  3 Mo 2.80, 2 Pb 2.95

## Properties
Energy relative to the elements ... 0.2833 eV per atom
Total DFT energy (no corrections) ... -21.52 eV per cell

(9)
Density functional theory data (PBEsol) for a relaxed structure of ErSiPt.

a b c (Å): 6.8462 4.2335 7.3469
angles (deg): 90.00 90.00 90.00
Last column: nearest neighbours and their distance in Å.
Space group Pnma (No. 62)
Unique sites:
Er (0.0035, 0.2500, 0.1994)  6 Pt 2.92-3.16, 6 Si 2.93-3.11
Si (0.1860, 0.2500, 0.5878)  4 Pt 2.47-2.64
Pt (0.1996, 0.7500, 0.4142)  4 Si 2.47-2.64

## Properties
E_form (uncorrected) ... -1.26 eV/atom
Total DFT energy (no corrections) ... -85.68 eV per cell

(10)
Density functional theory data (PBEsol) for a relaxed structure of RbCo3Tc.

a b c (Å): 4.5195 4.5195 4.5195
angles (deg): 90.00 90.00 90.00
Last column: nearest neighbours and their distance in Å.
Space group Pm-3m (No. 221)
Unique sites:
Rb (0.0000, 0.0000, 0.0000)  12 Co 3.20
Co (0.0000, 0.5000, 0.5000)  2 Tc 2.26
Tc (0.5000, 0.5000, 0.5000)  6 Co 2.26

## Properties
Energy relative to the elements ... 1.4678 eV per atom
Total DFT energy (no corrections) ... -28.16 eV per cell

(11)
Density functional theory data (PBEsol) for a relaxed structure of MgIn2Ru.

a b c (Å): 5.9148 7.5033 3.2559
angles (deg): 90.00 90.00 90.00
Last column: nearest neighbours and their distance in Å.
Space group Cmmm (No. 65)
Unique sites:
Mg (0.0000, 0.0000, 0.0000)  8 In 2.89, 2 Ru 2.96
In (0.2500, 0.2500, 0.5000)  4 Ru 2.89, 4 Mg 2.89, 2 In 2.96
Ru (0.0000, 0.5000, 0.0000)  8 In 2.89, 2 Mg 2.96

## Properties
Energy relative to the elements ... 0.0898 eV per atom
Total DFT energy (no corrections) ... -34.99 eV per cell

(12)
Density functional theory data (PBEsol) for a relaxed structure of IrRuAu2.

a b c (Å): 2.7191 4.7849 4.7583
angles (deg): 90.00 90.04 90.00
Last column: nearest neighbours and their distance in Å.
Space group P2/m (No. 10)
Unique sites:
Ir (0.0000, 0.0000, 0.0000)  2 Ir 2.72, 4 Ru 2.74, 4 Au 2.76
Ru (0.5000, 0.0000, 0.5000)  2 Ru 2.72, 4 Ir 2.74, 4 Au 2.76
Au (0.2474, 0.5000, 0.2508)  6 Au 2.72-2.75, 2 Ir 2.76, 2 Ru 2.76

## Properties
Energy relative to the elements ... 0.5039 eV per atom
Total DFT energy (no corrections) ... -25.83 eV per cell

(13)
Density functional theory data (PBEsol) for a relaxed structure of CrOsBr3.

a b c (Å): 4.9920 4.9920 4.9920
angles (deg): 90.00 90.00 90.00
Last column: nearest neighbours and their distance in Å.
Space group Pm-3m (No. 221)
Unique sites:
Cr (0.0000, 0.0000, 0.0000)  12 Br 3.53
Os (0.5000, 0.5000, 0.5000)  6 Br 2.50
Br (0.0000, 0.5000, 0.5000)  2 Os 2.50

## Properties
E_form (uncorrected) ... 0.89 eV/atom
Total DFT energy (no corrections) ... -23.63 eV per cell